1.
Mg2TaNi2 PBE-GGA relaxed; density of states at the Fermi level = 3.91 states/eV/f.u.; formation energy = -0.0039 eV/atom; calculated density = 7.114 g/cm3; magnetization = 0.0 μB per cell; energy relative to the lowest polymorph listed for this composition = 0 meV/atom; space-group type = No. 127; VASP energy = -26.62 eV per formula unit
1.0
6.270 0.000 0.000
0.000 6.270 0.000
0.000 0.000 4.120
Mg Ta Ni
4 2 4
Cartesian
1.088 2.047 0.000
2.047 5.182 0.000
4.223 1.088 0.000
5.182 4.223 0.000
0.000 0.000 2.060
3.135 3.135 2.060
0.809 3.944 2.060
2.326 0.809 2.060
3.944 5.461 2.060
5.461 2.326 2.060

2.
GaTeP2 PBE-GGA relaxed; density of states at the Fermi level = 1.07 states/eV/f.u.; ΔE_f (raw) = 0.30 eV/atom; calculated density = 4.251 g/cm3; magnetization = 0.0 μB per cell; energy relative to the lowest polymorph listed for this composition = 0 meV/atom; space-group type = No. 122; VASP energy = -15.78 eV per formula unit
1.0
-2.743 2.743 6.732
2.743 -2.743 6.732
2.743 2.743 -6.732
Ga Te P
2 2 4
Cartesian
0.000 0.000 0.000
0.000 2.743 3.366
2.743 0.000 3.366
0.000 0.000 6.732
4.114 1.154 -1.683
1.154 1.371 1.683
-1.371 1.588 5.049
1.588 1.371 8.415